[1]
Compound: SrZr2Sb
Source: Alexandria via LeMat-Bulk
Functional: PBE
Structure: optimized geometry

Summary:
Its density of states at the Fermi level is 1.4210 states/eV/atom. The total energy comes out at -5.533 eV per atom. The raw formation energy is 193 meV/atom.

abc: 3.4105 3.4105 32.4883
angles: 90.00 90.00 120.00
Last column: nearest neighbours and their distance in Å.
Space group R-3m (No. 166, hexagonal axes)
Asymmetric unit:
Sr1 0.0000 0.0000 0.0000 [3 per cell]  6 Sr 3.41, 6 Zr 3.64
Zr1 0.0000 0.0000 0.2392 [6 per cell]  3 Sb 3.07, 6 Zr 3.41
Sb1 0.0000 0.0000 0.5000 [3 per cell]  6 Zr 3.07, 6 Sb 3.41

[2]
Compound: GdTl2In
Source: Alexandria via LeMat-Bulk
Functional: PBE
Structure: optimized geometry

Summary:
Its density of states at the Fermi level is 0.7645 states/eV/atom. The total energy comes out at -5.550 eV per atom. For the energy above the lowest structure with this stoichiometry, the calculation gives 150 meV per atom.

abc: 7.6264 7.6264 7.6264
angles: 90.00 90.00 90.00
Last column: nearest neighbours and their distance in Å.
Space group Fm-3m (No. 225)
Asymmetric unit:
Gd1 0.0000 0.0000 0.0000 [4 per cell]  8 Tl 3.30
Tl1 0.2500 0.2500 0.2500 [8 per cell]  4 Gd 3.30, 4 In 3.30
In1 0.0000 0.0000 0.5000 [4 per cell]  8 Tl 3.30

[3]
Compound: DyCuHg
Source: Alexandria via LeMat-Bulk
Functional: PBE
Structure: optimized geometry

Summary:
Its density of states at the Fermi level is 1.1581 states/eV/atom. The total energy comes out at -3.207 eV per atom.

abc: 6.5132 6.5132 6.5132
angles: 90.00 90.00 90.00
Last column: nearest neighbours and their distance in Å.
Space group F-43m (No. 216)
Asymmetric unit:
Dy1 0.0000 0.0000 0.0000 [4 per cell]  4 Cu 2.82
Cu1 0.2500 0.2500 0.2500 [4 per cell]  4 Hg 2.82, 4 Dy 2.82
Hg1 0.0000 0.0000 0.5000 [4 per cell]  4 Cu 2.82